Na3LiMo2O6 | Alexandria via LeMat-Bulk | GGA+U | relaxed; raw total energy = -5.93 eV per atom; crystal system = monoclinic
1.0
5.510 -0.067 0.009
-2.811 4.739 0.009
-0.894 -1.548 5.429
Na Li Mo O
3 1 2 6
Cartesian
-1.936 3.201 2.723
3.740 -0.077 2.723
0.902 1.562 2.723
0.000 0.000 0.000
-0.028 3.132 0.009
2.726 1.541 0.009
2.786 1.425 4.309
1.749 3.029 1.124
-0.981 1.699 1.138
-0.158 3.125 4.309
0.055 0.095 4.323
1.962 -0.001 1.138